Record 1
First-principles (SCAN) data for Sc4ZnHg at its PBEsol-relaxed geometry, as listed in Alexandria.

Unit cell a=8.001 b=8.001 c=8.001 alpha=90.00 beta=90.00 gamma=90.00
Space group F-43m (No. 216)
One atom of each set of equivalent atoms:
Sc  0.125  0.125  0.125 [16 per cell]
Zn  0.000  0.000  0.500 [4 per cell]
Hg  0.250  0.250  0.750 [4 per cell]

E_tot: -22.839 eV/atom
theoretical density: 5.8 g cm⁻³
DOS(E_F): 16.09 states/eV/cell
DFT formation energy: 26 kJ/mol of atoms

***

Record 2
First-principles (SCAN) data for Ta2BiS at its PBEsol-relaxed geometry, as listed in Alexandria.

Unit cell a=6.592 b=6.592 c=6.592 alpha=90.00 beta=90.00 gamma=90.00
Space group Fm-3m (No. 225)
One atom of each set of equivalent atoms:
Ta  0.250  0.250  0.250 [8 per cell]
Bi  0.000  0.000  0.000 [4 per cell]
S  0.000  0.000  0.500 [4 per cell]

E_tot: -55.004 eV/atom
theoretical density: 14.0 g cm⁻³
DOS(E_F): 10.64 states/eV/cell
formation energy without anion corrections: 339 meV/atom
energy above the most stable polymorph in this dataset: 0 meV/atom

***

Record 3
First-principles (SCAN) data for EuICl at its PBEsol-relaxed geometry, as listed in Alexandria.

Unit cell a=8.022 b=4.572 c=9.259 alpha=90.00 beta=90.00 gamma=90.00
Space group Pnma (No. 62)
One atom of each set of equivalent atoms:
Eu  0.216  0.250  0.124 [4 per cell]
I  0.026  0.750  0.333 [4 per cell]
Cl  0.144  0.750  0.936 [4 per cell]

E_tot: -35.027 eV/atom
theoretical density: 6.1 g cm⁻³
formation energy without anion corrections: -2217 meV/atom

***

Record 4
First-principles (SCAN) data for ZrGeSbI2 at its PBEsol-relaxed geometry, as listed in Alexandria.

Unit cell a=5.478 b=5.478 c=5.735 alpha=90.00 beta=90.00 gamma=90.00
Space group P4/mmm (No. 123)
One atom of each set of equivalent atoms:
Zr  0.000  0.000  0.000 [1 per cell]
Ge  0.500  0.500  0.500 [1 per cell]
Sb  0.000  0.000  0.500 [1 per cell]
I  0.000  0.500  0.000 [2 per cell]

E_tot: -31.807 eV/atom
theoretical density: 5.2 g cm⁻³
DOS(E_F): 3.16 states/eV/cell
formation energy without anion corrections: 299 meV/atom
energy above the most stable polymorph in this dataset: 0 meV/atom

***

Record 5
First-principles (SCAN) data for In2RuBr at its PBEsol-relaxed geometry, as listed in Alexandria.

Unit cell a=4.228 b=4.228 c=8.735 alpha=90.00 beta=90.00 gamma=90.00
Space group I4/mmm (No. 139)
One atom of each set of equivalent atoms:
In  0.000  0.500  0.250 [4 per cell]
Ru  0.000  0.000  0.000 [2 per cell]
Br  0.000  0.000  0.500 [2 per cell]

E_tot: -29.668 eV/atom
theoretical density: 8.7 g cm⁻³
DOS(E_F): 4.21 states/eV/cell
formation energy without anion corrections: 597 meV/atom

***

Record 6
First-principles (SCAN) data for LiPPdRh2 at its PBEsol-relaxed geometry, as listed in Alexandria.

Unit cell a=4.097 b=4.097 c=4.013 alpha=90.00 beta=90.00 gamma=90.00
Space group P4/mmm (No. 123)
One atom of each set of equivalent atoms:
Li  0.000  0.000  0.000 [1 per cell]
P  0.500  0.500  0.500 [1 per cell]
Pd  0.000  0.000  0.500 [1 per cell]
Rh  0.000  0.500  0.000 [2 per cell]

E_tot: -21.919 eV/atom
theoretical density: 8.6 g cm⁻³
DOS(E_F): 5.58 states/eV/cell
DFT formation energy: 68 kJ/mol of atoms

***

Record 7
First-principles (SCAN) data for La2Cl at its PBEsol-relaxed geometry, as listed in Alexandria.

Unit cell a=5.745 b=5.745 c=10.178 alpha=90.00 beta=90.00 gamma=90.00
Space group I4_1/amd (No. 141, origin choice 2)
One atom of each set of equivalent atoms:
La  0.000  0.250  0.089 [8 per cell]
Cl  0.000  0.250  0.375 [4 per cell]

E_tot: -32.571 eV/atom
theoretical density: 6.2 g cm⁻³
DOS(E_F): 6.73 states/eV/cell
formation energy without anion corrections: -1175 meV/atom
energy above the most stable polymorph in this dataset: 1 meV/atom

***

Record 8
First-principles (SCAN) data for Ca2MnCl at its PBEsol-relaxed geometry, as listed in Alexandria.

Unit cell a=3.429 b=3.429 c=7.992 alpha=90.00 beta=90.00 gamma=90.00
Space group P4/mmm (No. 123)
One atom of each set of equivalent atoms:
Ca  0.000  0.000  0.240 [2 per cell]
Mn  0.500  0.500  0.000 [1 per cell]
Cl  0.500  0.500  0.500 [1 per cell]

E_tot: -12.068 eV/atom
theoretical density: 3.0 g cm⁻³
DOS(E_F): 2.51 states/eV/cell
formation energy without anion corrections: -678 meV/atom

***

- What is the formula in the seventh record?
  La2Cl